No. 1
A plane-wave DFT calculation with PBE was carried out for an optimized crystal structure of SrGa2RuI.

Geometry as CIF:
```
data_SrGa2RuI
_chemical_formula_sum 'Sr1 Ga2 Ru1 I1'
_cell_length_a 4.8031
_cell_length_b 4.8031
_cell_length_c 5.8368
_cell_angle_alpha 90.00
_cell_angle_beta 90.00
_cell_angle_gamma 90.00
_space_group_name_H-M_alt 'P 4/m m m'
_space_group_IT_number 123
_space_group_name_Hall '-P 4 2'
loop_
_atom_site_label
_atom_site_type_symbol
_atom_site_fract_x
_atom_site_fract_y
_atom_site_fract_z
Sr1 Sr 0.0000 0.0000 0.0000
Ga1 Ga 0.0000 0.5000 0.5000
Ru1 Ru 0.0000 0.0000 0.5000
I1 I 0.5000 0.5000 0.0000
```

The value obtained for the uncorrected energy is -20.54 eV for the cell shown. The formation energy without anion corrections comes out at -2.0 eV per formula unit.



No. 2
A plane-wave DFT calculation with PBE was carried out for an optimized crystal structure of KPmAs2Pt4.

Geometry as CIF:
```
data_KPmAs2Pt4
_chemical_formula_sum 'K1 Pm1 As2 Pt4'
_cell_length_a 4.0657
_cell_length_b 4.0657
_cell_length_c 11.1176
_cell_angle_alpha 90.00
_cell_angle_beta 90.00
_cell_angle_gamma 90.00
_space_group_name_H-M_alt 'P 4/m m m'
_space_group_IT_number 123
_space_group_name_Hall '-P 4 2'
loop_
_atom_site_label
_atom_site_type_symbol
_atom_site_fract_x
_atom_site_fract_y
_atom_site_fract_z
K1 K 0.0000 0.0000 0.0000
Pm1 Pm 0.0000 0.0000 0.5000
As1 As 0.5000 0.5000 0.1743
Pt1 Pt 0.0000 0.5000 0.3006
```

The value obtained for the uncorrected energy is -44.34 eV for the cell shown. The calculation puts the energy of formation from the pure elements at -628.4 meV/atom.



Copy entry 2 word for word.
A plane-wave DFT calculation with PBE was carried out for an optimized crystal structure of KPmAs2Pt4.

Geometry as CIF:
```
data_KPmAs2Pt4
_chemical_formula_sum 'K1 Pm1 As2 Pt4'
_cell_length_a 4.0657
_cell_length_b 4.0657
_cell_length_c 11.1176
_cell_angle_alpha 90.00
_cell_angle_beta 90.00
_cell_angle_gamma 90.00
_space_group_name_H-M_alt 'P 4/m m m'
_space_group_IT_number 123
_space_group_name_Hall '-P 4 2'
loop_
_atom_site_label
_atom_site_type_symbol
_atom_site_fract_x
_atom_site_fract_y
_atom_site_fract_z
K1 K 0.0000 0.0000 0.0000
Pm1 Pm 0.0000 0.0000 0.5000
As1 As 0.5000 0.5000 0.1743
Pt1 Pt 0.0000 0.5000 0.3006
```

The value obtained for the uncorrected energy is -44.34 eV for the cell shown. The calculation puts the energy of formation from the pure elements at -628.4 meV/atom.



> Which of these has the highest uncorrected energy?

SrGa2RuI